# 1
Below is a relaxed structure of TaInHg2, with properties calculated at the PBE level.

a = 6.6643 Å, b = 6.6643 Å, c = 6.6643 Å
α = 153.66°, β = 135.02°, γ = 52.88°
Closest atoms and distances in Å follow each position.
Positions (direct):
Ta 0.0000 0.0000 0.0000  4 Hg 2.90, 4 In 2.97, 2 Ta 3.04
In 0.5000 0.5000 0.0000  4 Ta 2.97, 2 In 3.04
Hg 0.2071 0.7071 0.5000  2 Ta 2.90, 6 Hg 3.04-3.14
Hg 0.7929 0.2929 0.5000  2 Ta 2.90, 6 Hg 3.04-3.14

ΔH_f (0 K): 0.36 eV per atom
Calculated volume: 92.4 Å³ per cell
N(E_F): 1.45 states/eV/f.u.

---

# 2
Below is a relaxed structure of TaIn2Hg, with properties calculated at the PBE level.

a = 3.0196 Å, b = 5.3665 Å, c = 5.4385 Å
α = 90.00°, β = 90.00°, γ = 90.00°
Closest atoms and distances in Å follow each position.
Positions (direct):
Ta 0.0000 0.0000 0.0000  2 Ta 3.02, 4 In 3.08, 4 Hg 3.11
In 0.0000 0.5000 0.5000  6 In 3.02-3.11, 4 Hg 3.08
In 0.5000 0.5000 0.0000  6 In 3.02-3.11, 4 Ta 3.08
Hg 0.5000 0.0000 0.5000  2 Hg 3.02, 4 In 3.08, 4 Ta 3.11

ΔH_f (0 K): 0.39 eV per atom
Calculated volume: 88.1 Å³ per cell
N(E_F): 2.28 states/eV/f.u.